1.
Below is a relaxed Sm2YEr5Th crystal, with properties calculated at the PBE level.

## Properties
For the total DFT energy (no corrections), the calculation gives -4.83 eV per atom. Its formation energy is 0.2996 eV per atom.

Lattice parameters (Å, degrees): 8.705 8.705 15.169 90.00 90.00 90.00
Space group I4/mcm (No. 140)
One atom of each set of equivalent atoms:
1 Sm 0.115 0.385 0.000 x8
2 Y 0.000 0.500 0.250 x4
3 Er 0.000 0.000 0.000 x4
4 Er 0.213 0.287 0.362 x16
5 Th 0.000 0.000 0.250 x4

***

2.
Below is a relaxed SmY2Er5Th crystal, with properties calculated at the PBE level.

## Properties
For the total DFT energy (no corrections), the calculation gives -4.99 eV per atom. Its formation energy is 0.3254 eV per atom.

Lattice parameters (Å, degrees): 8.740 8.740 14.990 90.00 90.00 90.00
Space group I4/mcm (No. 140)
One atom of each set of equivalent atoms:
1 Sm 0.000 0.500 0.250 x4
2 Y 0.115 0.385 0.000 x8
3 Er 0.000 0.000 0.000 x4
4 Er 0.209 0.291 0.362 x16
5 Th 0.000 0.000 0.250 x4

***

3.
Below is a relaxed SmY6Er3Th2 crystal, with properties calculated at the PBE level.

## Properties
For the total DFT energy (no corrections), the calculation gives -5.97 eV per atom. Its formation energy is 0.0335 eV per atom.

Lattice parameters (Å, degrees): 6.188 10.706 11.776 90.00 100.10 90.00
Space group C2/m (No. 12)
One atom of each set of equivalent atoms:
1 Sm 0.000 0.000 0.000 x2
2 Y 0.246 0.500 0.249 x4
3 Y 0.247 0.331 0.751 x8
4 Er 0.000 0.166 0.500 x4
5 Er 0.000 0.500 0.500 x2
6 Th 0.000 0.333 0.000 x4

***

4.
Below is a relaxed Sm2YEr2Th2 crystal, with properties calculated at the PBE level.

## Properties
For the total DFT energy (no corrections), the calculation gives -5.58 eV per atom. Its formation energy is 0.1137 eV per atom.

Lattice parameters (Å, degrees): 17.129 3.488 8.934 90.00 121.11 90.00
Space group C2/m (No. 12)
One atom of each set of equivalent atoms:
1 Sm 0.075 0.000 0.229 x4
2 Y 0.000 0.500 0.500 x2
3 Er 0.152 0.000 0.941 x4
4 Th 0.228 0.000 0.653 x4

***

5.
Below is a relaxed Sm5Y2ErTh crystal, with properties calculated at the PBE level.

## Properties
For the total DFT energy (no corrections), the calculation gives -5.24 eV per atom. Its formation energy is 0.1537 eV per atom.

Lattice parameters (Å, degrees): 5.642 20.373 10.575 90.00 90.00 90.00
Space group Cmc2_1 (No. 36)
One atom of each set of equivalent atoms:
1 Sm 0.000 0.016 0.000 x4
2 Sm 0.000 0.278 0.291 x4
3 Sm 0.000 0.294 0.684 x4
4 Sm 0.000 0.389 0.005 x4
5 Sm 0.000 0.481 0.724 x4
6 Y 0.000 0.112 0.716 x4
7 Y 0.000 0.115 0.294 x4
8 Er 0.000 0.406 0.439 x4
9 Th 0.000 0.201 0.991 x4

***

6.
Below is a relaxed SmYErTh crystal, with properties calculated at the PBE level.

## Properties
For the total DFT energy (no corrections), the calculation gives -5.78 eV per atom. Its formation energy is 0.0092 eV per atom. The value obtained for the energy above the most stable polymorph in this dataset is 0.0 kJ per mole of atoms.

Lattice parameters (Å, degrees): 3.5995 3.5995 34.4978 90.00 90.00 120.00
Space group R3m (No. 160, hexagonal axes)
One atom of each set of equivalent atoms:
1 Sm 0.0000 0.0000 0.0000 x3
2 Y 0.0000 0.0000 0.7523 x3
3 Er 0.0000 0.0000 0.1691 x3
4 Th 0.0000 0.0000 0.5839 x3

***

7.
Below is a relaxed SmY6Er2Th crystal, with properties calculated at the PBE level.

## Properties
For the total DFT energy (no corrections), the calculation gives -5.86 eV per atom. Its formation energy is 0.1488 eV per atom.

Lattice parameters (Å, degrees): 9.321 14.972 9.418 90.00 95.79 90.00
Space group C2/c (No. 15)
One atom of each set of equivalent atoms:
1 Sm 0.000 0.089 0.250 x4
2 Y 0.060 0.325 0.441 x8
3 Y 0.094 0.113 0.611 x8
4 Y 0.209 0.278 0.817 x8
5 Er 0.248 0.450 0.055 x8
6 Th 0.000 0.466 0.750 x4

***

8.
Below is a relaxed SmYErTh crystal, with properties calculated at the PBE level.

## Properties
For the total DFT energy (no corrections), the calculation gives -5.66 eV per atom. Its formation energy is 0.1355 eV per atom. The value obtained for the energy above the most stable polymorph in this dataset is 12.2 kJ per mole of atoms.

Lattice parameters (Å, degrees): 8.046 8.046 8.046 90.00 90.00 90.00
Space group F-43m (No. 216)
One atom of each set of equivalent atoms:
1 Sm 0.000 0.000 0.000 x4
2 Y 0.250 0.250 0.750 x4
3 Er 0.250 0.250 0.250 x4
4 Th 0.000 0.000 0.500 x4

***

What is the formula in the second record?
SmY2Er5Th

***

Look up the total DFT energy (no corrections) of the second one.
-4.99 eV per atom